The following is a DFT calculation (GGA-PBEsol) of a relaxed structure of BeFeCl3.

## Properties
Energy relative to the elements, uncorrected (eV per formula unit): -0.6

Cell: 4.4155 4.4155 4.4155 Å, 90.00 90.00 90.00°
Sites, in units of the cell vectors:
Be  0.0000  0.0000  0.0000
Fe  0.5000  0.5000  0.5000
Cl  0.0000  0.0000  0.5000
Cl  0.0000  0.5000  0.0000
Cl  0.5000  0.0000  0.0000

---

The following is a DFT calculation (GGA-PBEsol) of a relaxed structure of Er2NiRu.

## Properties
Energy relative to the elements (kJ/mol of formula units): -161

Cell: 4.6699 4.6699 4.6699 Å, 60.00 60.00 60.00°
Sites, in units of the cell vectors:
Er  0.2500  0.2500  0.2500
Er  0.7500  0.7500  0.7500
Ni  0.0000  0.0000  0.0000
Ru  0.5000  0.5000  0.5000

---

The following is a DFT calculation (GGA-PBEsol) of a relaxed structure of ZrPO2F.

## Properties
Energy relative to the elements, uncorrected (eV per formula unit): -8.5

Cell: 4.1217 4.1217 4.1342 Å, 90.00 90.00 90.00°
Sites, in units of the cell vectors:
Zr  0.0000  0.0000  0.0000
P  0.5000  0.5000  0.5000
O  0.0000  0.5000  0.0000
O  0.5000  0.0000  0.0000
F  0.0000  0.0000  0.5000

---

The following is a DFT calculation (GGA-PBEsol) of a relaxed structure of CdPdNF2.

## Properties
Energy relative to the elements, uncorrected (eV per formula unit): 1.2

Cell: 4.2120 4.2120 4.3167 Å, 90.00 90.00 90.00°
Sites, in units of the cell vectors:
Cd  0.0000  0.0000  0.0000
Pd  0.5000  0.5000  0.5000
N  0.0000  0.0000  0.5000
F  0.0000  0.5000  0.0000
F  0.5000  0.0000  0.0000

---

The following is a DFT calculation (GGA-PBEsol) of a relaxed structure of LaCo.

## Properties
Energy relative to the elements (kJ/mol of formula units): -15

Cell: 4.6543 4.6543 4.5734 Å, 90.00 90.00 120.00°
Sites, in units of the cell vectors:
La  0.3333  0.6667  0.2500
La  0.6667  0.3333  0.7500
Co  0.0000  0.0000  0.0000
Co  0.0000  0.0000  0.5000

---

The following is a DFT calculation (GGA-PBEsol) of a relaxed structure of Mg2FeAg.

## Properties
Energy relative to the elements (kJ/mol of formula units): 58

Cell: 4.5245 4.5245 3.1874 Å, 90.00 90.00 90.12°
Sites, in units of the cell vectors:
Mg  0.0000  0.5000  0.0000
Mg  0.5000  0.0000  0.0000
Fe  0.0000  0.0000  0.5000
Ag  0.5000  0.5000  0.5000

---

In g cm⁻³, the mass density values for the records above are, in order, 3.303, 11.398, 4.095, 5.872, 7.658, 5.403.